VASP calculation (PBE with a Hubbard U) on a geometry-optimized LiCrPO4 structure.

Geometry as CIF:
```
data_LiCrPO4
_cell_length_a 9.4870
_cell_length_b 6.6052
_cell_length_c 18.9719
_cell_angle_alpha 90.00
_cell_angle_beta 119.98
_cell_angle_gamma 90.00
_symmetry_space_group_name_H-M 'P 1'
_symmetry_Int_Tables_number 1
loop_
_symmetry_equiv_pos_as_xyz
'x,y,z'
loop_
_atom_site_label
_atom_site_type_symbol
_atom_site_fract_x
_atom_site_fract_y
_atom_site_fract_z
Li1 Li 0.9999 0.1840 0.2499
Li2 Li 0.9999 0.3160 0.7499
Li3 Li 0.0001 0.6840 0.2501
Li4 Li 0.0001 0.8160 0.7501
Li5 Li 0.3327 0.0226 0.0829
Li6 Li 0.3327 0.4774 0.5829
Li7 Li 0.3335 0.0233 0.5835
Li8 Li 0.3335 0.4767 0.0835
Li9 Li 0.6665 0.5233 0.9165
Li10 Li 0.6665 0.9767 0.4165
Li11 Li 0.6673 0.5226 0.4171
Li12 Li 0.6673 0.9774 0.9171
Cr1 Cr 0.1081 0.7495 0.9465
Cr2 Cr 0.1081 0.7505 0.4465
Cr3 Cr 0.2850 0.7495 0.1959
Cr4 Cr 0.2850 0.7505 0.6959
Cr5 Cr 0.3932 0.2500 0.3924
Cr6 Cr 0.3932 0.2500 0.8924
Cr7 Cr 0.6068 0.7500 0.1076
Cr8 Cr 0.6068 0.7500 0.6076
Cr9 Cr 0.7150 0.2495 0.3041
Cr10 Cr 0.7150 0.2505 0.8041
Cr11 Cr 0.8919 0.2495 0.5535
Cr12 Cr 0.8919 0.2505 0.0535
P1 P 0.0467 0.2497 0.4310
P2 P 0.0467 0.2503 0.9310
P3 P 0.3153 0.2490 0.2266
P4 P 0.3153 0.2510 0.7266
P5 P 0.3622 0.7495 0.4077
P6 P 0.3622 0.7505 0.9077
P7 P 0.6378 0.2495 0.0923
P8 P 0.6378 0.2505 0.5923
P9 P 0.6847 0.7490 0.2734
P10 P 0.6847 0.7510 0.7734
P11 P 0.9533 0.7497 0.0690
P12 P 0.9533 0.7503 0.5690
O1 O 0.0402 0.7490 0.1639
O2 O 0.0402 0.7510 0.6639
O3 O 0.0947 0.7489 0.0495
O4 O 0.0947 0.7511 0.5495
O5 O 0.1563 0.0612 0.9670
O6 O 0.1563 0.4388 0.4670
O7 O 0.1580 0.0619 0.4674
O8 O 0.1580 0.4381 0.9674
O9 O 0.1724 0.7493 0.3562
O10 O 0.1724 0.7507 0.8562
O11 O 0.2123 0.2485 0.2700
O12 O 0.2123 0.2515 0.7700
O13 O 0.2773 0.0609 0.1711
O14 O 0.2774 0.0622 0.6715
O15 O 0.2774 0.4378 0.1715
O16 O 0.2773 0.4391 0.6711
O17 O 0.4010 0.7490 0.4979
O18 O 0.4010 0.7510 0.9979
O19 O 0.4348 0.5615 0.3885
O20 O 0.4347 0.5616 0.8890
O21 O 0.4347 0.9384 0.3890
O22 O 0.4348 0.9385 0.8885
O23 O 0.4956 0.2490 0.2973
O24 O 0.4956 0.2510 0.7973
O25 O 0.5044 0.7490 0.2027
O26 O 0.5044 0.7510 0.7027
O27 O 0.5652 0.0615 0.1115
O28 O 0.5653 0.0616 0.6110
O29 O 0.5653 0.4384 0.1110
O30 O 0.5652 0.4385 0.6115
O31 O 0.5990 0.2490 0.0021
O32 O 0.5990 0.2510 0.5021
O33 O 0.7227 0.5609 0.3289
O34 O 0.7226 0.5622 0.8285
O35 O 0.7226 0.9378 0.3285
O36 O 0.7227 0.9391 0.8289
O37 O 0.7877 0.7485 0.2300
O38 O 0.7877 0.7515 0.7300
O39 O 0.8276 0.2493 0.1438
O40 O 0.8276 0.2507 0.6438
O41 O 0.8420 0.5619 0.0326
O42 O 0.8420 0.9381 0.5326
O43 O 0.8437 0.5612 0.5330
O44 O 0.8437 0.9388 0.0330
O45 O 0.9053 0.2489 0.4505
O46 O 0.9053 0.2511 0.9505
O47 O 0.9598 0.2490 0.3361
O48 O 0.9598 0.2510 0.8361
```

Values from the calculation:
D(E_F), states/eV/f.u.: 0.0
Uncorrected energy, Ry/atom: -0.5213
Energy above the most stable polymorph in this dataset, eV/atom: 0.039
Space-group type: No. 14